Entry 1:
VASP calculation (PBE-GGA) on an optimized crystal structure of LiLaFe.

Results
Calculated total energy: -4.60 eV/atom
Offset from the most stable computed form: 318.3 meV/atom
Crystal system: cubic
DOS at the Fermi energy: 0.06 states/eV/f.u.
Formation enthalpy at 0 K: 0.501 eV per atom

The structure in CIF format:
```
data_LiLaFe
_chemical_formula_sum 'Li4 La4 Fe4'
_symmetry_space_group_name_H-M 'F -4 3 m'
_symmetry_Int_Tables_number 216
_symmetry_space_group_name_Hall 'F -4 2 3'
_cell_length_a 6.250
_cell_length_b 6.250
_cell_length_c 6.250
_cell_angle_alpha 90.00
_cell_angle_beta 90.00
_cell_angle_gamma 90.00
loop_
_atom_site_label
_atom_site_type_symbol
_atom_site_fract_x
_atom_site_fract_y
_atom_site_fract_z
Li1 Li 0.000 0.000 0.000
La1 La 0.000 0.000 0.500
Fe1 Fe 0.250 0.250 0.750
```



Entry 2:
VASP calculation (PBE-GGA) on an optimized crystal structure of Cs2NaAuCl.

Results
Calculated total energy: -2.35 eV/atom
Crystal system: tetragonal
DOS at the Fermi energy: 2.60 states/eV/f.u.
Formation energy from raw total energies: -715 meV/atom

The structure in CIF format:
```
data_Cs2NaAuCl
_chemical_formula_sum 'Cs2 Na1 Au1 Cl1'
_symmetry_space_group_name_H-M 'P 4/m m m'
_symmetry_Int_Tables_number 123
_symmetry_space_group_name_Hall '-P 4 2'
_cell_length_a 6.741
_cell_length_b 6.741
_cell_length_c 5.346
_cell_angle_alpha 90.00
_cell_angle_beta 90.00
_cell_angle_gamma 90.00
loop_
_atom_site_label
_atom_site_type_symbol
_atom_site_fract_x
_atom_site_fract_y
_atom_site_fract_z
Cs1 Cs 0.000 0.500 0.000
Na1 Na 0.000 0.000 0.500
Au1 Au 0.500 0.500 0.500
Cl1 Cl 0.000 0.000 0.000
```



Entry 3:
VASP calculation (PBE-GGA) on an optimized crystal structure of Be2InIr.

Results
Calculated total energy: -4.57 eV/atom
Crystal system: tetragonal
DOS at the Fermi energy: 1.36 states/eV/f.u.
Formation enthalpy at 0 K: 0.189 eV per atom

The structure in CIF format:
```
data_Be2InIr
_chemical_formula_sum 'Be8 In4 Ir4'
_symmetry_space_group_name_H-M 'I -4 2 d'
_symmetry_Int_Tables_number 122
_symmetry_space_group_name_Hall 'I -4 2bw'
_cell_length_a 4.076
_cell_length_b 4.076
_cell_length_c 15.827
_cell_angle_alpha 90.00
_cell_angle_beta 90.00
_cell_angle_gamma 90.00
loop_
_atom_site_label
_atom_site_type_symbol
_atom_site_fract_x
_atom_site_fract_y
_atom_site_fract_z
Be1 Be 0.009 0.250 0.125
In1 In 0.000 0.000 0.500
Ir1 Ir 0.000 0.000 0.000
```



Entry 4:
VASP calculation (PBE-GGA) on an optimized crystal structure of NbV2AgSb.

Results
Calculated total energy: -5.66 eV/atom
Crystal system: tetragonal
DOS at the Fermi energy: 7.82 states/eV/f.u.
Formation energy from raw total energies: 1401 meV/atom

The structure in CIF format:
```
data_NbV2AgSb
_chemical_formula_sum 'Nb1 V2 Ag1 Sb1'
_symmetry_space_group_name_H-M 'P 4/m m m'
_symmetry_Int_Tables_number 123
_symmetry_space_group_name_Hall '-P 4 2'
_cell_length_a 4.843
_cell_length_b 4.843
_cell_length_c 4.979
_cell_angle_alpha 90.00
_cell_angle_beta 90.00
_cell_angle_gamma 90.00
loop_
_atom_site_label
_atom_site_type_symbol
_atom_site_fract_x
_atom_site_fract_y
_atom_site_fract_z
Nb1 Nb 0.000 0.000 0.000
V1 V 0.000 0.500 0.500
Ag1 Ag 0.000 0.000 0.500
Sb1 Sb 0.500 0.500 0.000
```



Entry 5:
VASP calculation (PBE-GGA) on an optimized crystal structure of Be4GaTc.

Results
Calculated total energy: -4.85 eV/atom
Crystal system: cubic
DOS at the Fermi energy: 1.73 states/eV/f.u.
Formation enthalpy at 0 K: -0.134 eV per atom

The structure in CIF format:
```
data_Be4GaTc
_chemical_formula_sum 'Be16 Ga4 Tc4'
_symmetry_space_group_name_H-M 'F -4 3 m'
_symmetry_Int_Tables_number 216
_symmetry_space_group_name_Hall 'F -4 2 3'
_cell_length_a 6.199
_cell_length_b 6.199
_cell_length_c 6.199
_cell_angle_alpha 90.00
_cell_angle_beta 90.00
_cell_angle_gamma 90.00
loop_
_atom_site_label
_atom_site_type_symbol
_atom_site_fract_x
_atom_site_fract_y
_atom_site_fract_z
Be1 Be 0.122 0.122 0.122
Ga1 Ga 0.000 0.000 0.500
Tc1 Tc 0.250 0.250 0.750
```



Entry 6:
VASP calculation (PBE-GGA) on an optimized crystal structure of ZrAg2AsH.

Results
Calculated total energy: -3.27 eV/atom
Crystal system: tetragonal
DOS at the Fermi energy: 3.90 states/eV/f.u.

The structure in CIF format:
```
data_ZrAg2AsH
_chemical_formula_sum 'Zr1 Ag2 As1 H1'
_symmetry_space_group_name_H-M 'P 4/m m m'
_symmetry_Int_Tables_number 123
_symmetry_space_group_name_Hall '-P 4 2'
_cell_length_a 5.637
_cell_length_b 5.637
_cell_length_c 5.075
_cell_angle_alpha 90.00
_cell_angle_beta 90.00
_cell_angle_gamma 90.00
loop_
_atom_site_label
_atom_site_type_symbol
_atom_site_fract_x
_atom_site_fract_y
_atom_site_fract_z
Zr1 Zr 0.000 0.000 0.000
Ag1 Ag 0.000 0.500 0.000
As1 As 0.000 0.000 0.500
H1 H 0.500 0.500 0.500
```



Entry 7:
VASP calculation (PBE-GGA) on an optimized crystal structure of TaTeI2O.

Results
Calculated total energy: -4.99 eV/atom
Offset from the most stable computed form: 0.0 meV/atom
Crystal system: tetragonal
DOS at the Fermi energy: 4.39 states/eV/f.u.
Formation energy from raw total energies: -382 meV/atom

The structure in CIF format:
```
data_TaTeI2O
_chemical_formula_sum 'Ta1 Te1 I2 O1'
_symmetry_space_group_name_H-M 'P 4/m m m'
_symmetry_Int_Tables_number 123
_symmetry_space_group_name_Hall '-P 4 2'
_cell_length_a 5.831
_cell_length_b 5.831
_cell_length_c 3.897
_cell_angle_alpha 90.00
_cell_angle_beta 90.00
_cell_angle_gamma 90.00
loop_
_atom_site_label
_atom_site_type_symbol
_atom_site_fract_x
_atom_site_fract_y
_atom_site_fract_z
Ta1 Ta 0.000 0.000 0.000
Te1 Te 0.500 0.500 0.500
I1 I 0.000 0.500 0.000
O1 O 0.000 0.000 0.500
```



Entry 8:
VASP calculation (PBE-GGA) on an optimized crystal structure of Li4CdBi3Pb2.

Results
Calculated total energy: -2.97 eV/atom
Crystal system: tetragonal
DOS at the Fermi energy: 3.98 states/eV/f.u.
Formation enthalpy at 0 K: -0.209 eV per atom

The structure in CIF format:
```
data_Li4CdBi3Pb2
_chemical_formula_sum 'Li4 Cd1 Bi3 Pb2'
_symmetry_space_group_name_H-M 'P -4 m 2'
_symmetry_Int_Tables_number 115
_symmetry_space_group_name_Hall 'P -4 -2'
_cell_length_a 4.466
_cell_length_b 4.466
_cell_length_c 13.002
_cell_angle_alpha 90.00
_cell_angle_beta 90.00
_cell_angle_gamma 90.00
loop_
_atom_site_label
_atom_site_type_symbol
_atom_site_fract_x
_atom_site_fract_y
_atom_site_fract_z
Li1 Li 0.000 0.000 0.000
Li2 Li 0.000 0.500 0.356
Li3 Li 0.500 0.500 0.000
Cd1 Cd 0.500 0.500 0.500
Bi1 Bi 0.000 0.000 0.500
Bi2 Bi 0.000 0.500 0.146
Pb1 Pb 0.000 0.500 0.760
```